The following is a DFT calculation (PBE with a Hubbard U) of a relaxed structure of Li4Ti3Co2Sn3O16.

Properties
- VASP energy: -6.805 eV/atom
- Volume: 11.527 Å³ per atom
- Space-group type: No. 1
- Crystal system: triclinic

Cell: 6.174 9.863 6.120 Å, 89.75 60.00 89.99°
Site moments in Bohr magnetons follow the coordinates.
Fractional coordinates of all 28 atoms:
Ti: 0.320 0.703 0.805  0.03
Ti: 0.772 0.732 0.871  0.01
Ti: 0.179 0.225 0.657  0.02
Co: 0.340 0.497 0.321  2.74
Co: 0.667 0.999 0.668  2.75
O: 0.849 0.093 0.306  0.03
O: 0.686 0.605 0.154  0.03
O: 0.506 0.837 0.992  0.02
O: 0.190 0.597 0.665  0.02
O: 0.328 0.098 0.348  0.00
O: 0.485 0.336 0.033  0.03
O: 0.007 0.317 0.989  0.01
O: 0.510 0.832 0.535  0.03
O: 0.481 0.329 0.489  0.03
O: 0.653 0.608 0.697  0.00
O: 0.858 0.103 0.823  0.04
O: 0.165 0.601 0.145  0.03
O: 0.037 0.333 0.493  0.03
O: 0.957 0.832 0.543  0.03
O: 0.003 0.810 0.985  0.01
O: 0.323 0.105 0.827  0.04
Li: 0.668 0.395 0.671  0.00
Li: 0.317 0.892 0.361  0.00
Li: 0.025 0.993 0.962  0.00
Li: 0.995 0.501 0.986  0.00
Sn: 0.171 0.212 0.169  0.00
Sn: 0.667 0.208 0.161  0.00
Sn: 0.841 0.714 0.344  0.00